Record 1
The following is a DFT calculation (PBE-GGA) of LiHoPbSe3 after structural relaxation.

Summary:
* SG: C2/m
* raw total energy: -4.72 eV per atom

Cell lengths 9.062, 9.062, 8.674 Å; angles 103.61, 103.61, 26.09 degrees
Atoms (fractional coordinates):
Pb (0.134, 0.134, 0.565)
Pb (0.866, 0.866, 0.435)
Se (0.000, 0.000, 0.000)
Se (0.674, 0.674, 0.317)
Se (0.668, 0.668, 0.857)
Se (0.332, 0.332, 0.143)
Se (0.326, 0.326, 0.683)
Se (0.500, 0.500, 0.500)
Ho (0.835, 0.835, 0.913)
Ho (0.165, 0.165, 0.087)
Li (0.494, 0.494, 0.801)
Li (0.506, 0.506, 0.199)

---

Record 2
The following is a DFT calculation (PBE-GGA) of PaInGa after structural relaxation.

Summary:
* SG: F-43m
* raw total energy: -4.93 eV per atom

Cell lengths 4.789, 4.789, 4.789 Å; angles 60.00, 60.00, 60.00 degrees
Last column: magnetic moment on the atom in μB.
Atoms (fractional coordinates):
In (0.250, 0.250, 0.250)  0.01
Pa (0.750, 0.750, 0.750)  0.66
Ga (0.000, 0.000, 0.000)  0.01